Entry 1:
{"formula": "ZnGa2Se", "functional": "PBE-GGA", "state": "optimized geometry", "final_energy_ev_per_atom": -2.645, "formation_energy_uncorrected_mev_per_atom": 58, "space_group": "No. 166", "lattice_angstrom": [[1.832, 1.058, 8.292], [-1.832, 1.058, 8.292], [0.000, -2.116, 8.292]], "species": ["Zn", "Ga", "Ga", "Se"], "fractional_positions": [[0.000, 0.000, 0.000], [0.100, 0.100, 0.100], [0.900, 0.900, 0.900], [0.500, 0.500, 0.500]]}



Entry 2:
{"formula": "Zn2GaSe", "functional": "PBE-GGA", "state": "optimized geometry", "final_energy_ev_per_atom": -2.110, "formation_energy_uncorrected_mev_per_atom": 155, "space_group": "No. 225", "lattice_angstrom": [[0.000, 3.386, 3.386], [3.386, 0.000, 3.386], [3.386, 3.386, 0.000]], "species": ["Zn", "Zn", "Ga", "Se"], "fractional_positions": [[0.250, 0.250, 0.250], [0.750, 0.750, 0.750], [0.000, 0.000, 0.000], [0.500, 0.500, 0.500]]}



Entry 3:
{"formula": "Zn3GaSe4", "functional": "PBE-GGA", "state": "optimized geometry", "final_energy_ev_per_atom": -3.163, "formation_energy_uncorrected_mev_per_atom": -564, "space_group": "No. 160", "lattice_angstrom": [[2.066, 1.193, 13.515], [-2.066, 1.193, 13.515], [0.000, -2.386, 13.515]], "species": ["Zn", "Zn", "Zn", "Ga", "Se", "Se", "Se", "Se"], "fractional_positions": [[0.000, 0.000, 0.000], [0.252, 0.252, 0.252], [0.505, 0.505, 0.505], [0.752, 0.752, 0.752], [0.191, 0.191, 0.191], [0.443, 0.443, 0.443], [0.687, 0.687, 0.687], [0.939, 0.939, 0.939]]}



Entry 4:
{"formula": "Zr2GaSe", "functional": "PBE-GGA", "state": "optimized geometry", "final_energy_ev_per_atom": -5.961, "formation_energy_uncorrected_mev_per_atom": -59, "space_group": "No. 122", "lattice_angstrom": [[-2.968, 2.968, 6.370], [2.968, -2.968, 6.370], [2.968, 2.968, -6.370]], "species": ["Zr", "Zr", "Zr", "Zr", "Ga", "Ga", "Se", "Se"], "fractional_positions": [[0.118, 0.625, 0.993], [0.375, 0.368, 0.493], [0.632, 0.125, 0.007], [0.875, 0.882, 0.507], [0.000, 0.000, 0.000], [0.750, 0.250, 0.500], [0.250, 0.750, 0.500], [0.500, 0.500, 0.000]]}



Entry 5:
{"formula": "Zr2GaSe2", "functional": "PBE-GGA", "state": "optimized geometry", "final_energy_ev_per_atom": -6.267, "formation_energy_uncorrected_mev_per_atom": -849, "space_group": "No. 127", "lattice_angstrom": [[7.608, 0.000, 0.000], [0.000, 7.608, 0.000], [0.000, 0.000, 3.494]], "species": ["Zr", "Zr", "Zr", "Zr", "Ga", "Ga", "Se", "Se", "Se", "Se"], "fractional_positions": [[0.153, 0.347, 0.000], [0.347, 0.847, 0.000], [0.653, 0.153, 0.000], [0.847, 0.653, 0.000], [0.000, 0.000, 0.000], [0.500, 0.500, 0.000], [0.141, 0.641, 0.500], [0.359, 0.141, 0.500], [0.641, 0.859, 0.500], [0.859, 0.359, 0.500]]}



Entry 6:
{"formula": "ZrGaSe4", "functional": "PBE-GGA", "state": "optimized geometry", "final_energy_ev_per_atom": -4.875, "formation_energy_uncorrected_mev_per_atom": -623, "space_group": "No. 112", "lattice_angstrom": [[6.902, 0.000, 0.000], [0.000, 6.902, 0.000], [0.000, 0.000, 6.801]], "species": ["Zr", "Zr", "Ga", "Ga", "Se", "Se", "Se", "Se", "Se", "Se", "Se", "Se"], "fractional_positions": [[0.000, 0.000, 0.000], [0.000, 0.000, 0.500], [0.000, 0.500, 0.250], [0.500, 0.000, 0.750], [0.242, 0.252, 0.346], [0.242, 0.748, 0.154], [0.252, 0.242, 0.846], [0.252, 0.758, 0.654], [0.748, 0.242, 0.654], [0.748, 0.758, 0.846], [0.758, 0.252, 0.154], [0.758, 0.748, 0.346]]}